No. 1
# TeOs2, optimized geometry, DFT PBEsol
# - Crystal system: trigonal
# - Calculated volume: 49 Å³/f.u.
# - Offset from the most stable computed form: 0.0000 eV per atom
data_TeOs2
_chemical_formula_sum 'Te1 Os2'
_space_group_name_H-M_alt 'P -3 m 1'
_space_group_IT_number 164
_space_group_name_Hall '-P 3 2"'
_cell_length_a 4.3313
_cell_length_b 4.3313
_cell_length_c 3.0321
_cell_angle_alpha 90.00
_cell_angle_beta 90.00
_cell_angle_gamma 120.00
loop_
_atom_site_label
_atom_site_fract_x
_atom_site_fract_y
_atom_site_fract_z
_atom_site_occupancy
Te1 0.0000 0.0000 0.0000 1
Os1 0.3333 0.6667 0.2612 1

---

No. 2
# TiTe2Os, optimized geometry, DFT PBEsol
# - Crystal system: tetragonal
# - Calculated volume: 109 Å³/f.u.
data_TiTe2Os
_chemical_formula_sum 'Ti4 Te8 Os4'
_space_group_name_H-M_alt 'I -4 2 d'
_space_group_IT_number 122
_space_group_name_Hall 'I -4 2bw'
_cell_length_a 6.052
_cell_length_b 6.052
_cell_length_c 11.851
_cell_angle_alpha 90.00
_cell_angle_beta 90.00
_cell_angle_gamma 90.00
loop_
_atom_site_label
_atom_site_fract_x
_atom_site_fract_y
_atom_site_fract_z
_atom_site_occupancy
Ti1 0.000 0.000 0.000 1
Te1 0.230 0.250 0.625 1
Os1 0.000 0.000 0.500 1

---

No. 3
# ZrTiTe2Os, optimized geometry, DFT PBEsol
# - Crystal system: tetragonal
# - Calculated volume: 121 Å³/f.u.
data_ZrTiTe2Os
_chemical_formula_sum 'Zr1 Ti1 Te2 Os1'
_space_group_name_H-M_alt 'P 4/m m m'
_space_group_IT_number 123
_space_group_name_Hall '-P 4 2'
_cell_length_a 5.184
_cell_length_b 5.184
_cell_length_c 4.508
_cell_angle_alpha 90.00
_cell_angle_beta 90.00
_cell_angle_gamma 90.00
loop_
_atom_site_label
_atom_site_fract_x
_atom_site_fract_y
_atom_site_fract_z
_atom_site_occupancy
Zr1 0.000 0.000 0.000 1
Ti1 0.500 0.500 0.000 1
Te1 0.000 0.500 0.500 1
Os1 0.500 0.500 0.500 1

---

No. 4
# TlTeOs2, optimized geometry, DFT PBEsol
# - Crystal system: tetragonal
# - Calculated volume: 72 Å³/f.u.
# - Offset from the most stable computed form: 0.5674 eV per atom
data_TlTeOs2
_chemical_formula_sum 'Tl2 Te2 Os4'
_space_group_name_H-M_alt 'I -4 m 2'
_space_group_IT_number 119
_space_group_name_Hall 'I -4 -2'
_cell_length_a 4.206
_cell_length_b 4.206
_cell_length_c 8.120
_cell_angle_alpha 90.00
_cell_angle_beta 90.00
_cell_angle_gamma 90.00
loop_
_atom_site_label
_atom_site_fract_x
_atom_site_fract_y
_atom_site_fract_z
_atom_site_occupancy
Tl1 0.000 0.000 0.000 1
Te1 0.000 0.500 0.750 1
Os1 0.000 0.000 0.500 1
Os2 0.000 0.500 0.250 1

---

No. 5
# TlTeOs2, optimized geometry, DFT PBEsol
# - Crystal system: orthorhombic
# - Calculated volume: 83 Å³/f.u.
# - Offset from the most stable computed form: 0.0000 eV per atom
data_TlTeOs2
_chemical_formula_sum 'Tl1 Te1 Os2'
_space_group_name_H-M_alt 'P m m 2'
_space_group_IT_number 25
_cell_length_a 2.888
_cell_length_b 3.778
_cell_length_c 7.562
_cell_angle_alpha 90.00
_cell_angle_beta 90.00
_cell_angle_gamma 90.00
loop_
_space_group_symop_operation_xyz
'x,y,z'
'-x,-y,z'
'-x,y,z'
'x,-y,z'
loop_
_atom_site_label
_atom_site_fract_x
_atom_site_fract_y
_atom_site_fract_z
_atom_site_occupancy
Tl1 0.000 0.000 0.000 1
Te1 0.500 0.500 0.617 1
Os1 0.000 0.000 0.402 1
Os2 0.500 0.500 0.256 1

---

No. 6
# TlTeOs, optimized geometry, DFT PBEsol
# - Crystal system: cubic
# - Calculated volume: 67 Å³/f.u.
# - Offset from the most stable computed form: 0.0000 eV per atom
data_TlTeOs
_chemical_formula_sum 'Tl4 Te4 Os4'
_space_group_name_H-M_alt 'F -4 3 m'
_space_group_IT_number 216
_space_group_name_Hall 'F -4 2 3'
_cell_length_a 6.449
_cell_length_b 6.449
_cell_length_c 6.449
_cell_angle_alpha 90.00
_cell_angle_beta 90.00
_cell_angle_gamma 90.00
loop_
_atom_site_label
_atom_site_fract_x
_atom_site_fract_y
_atom_site_fract_z
_atom_site_occupancy
Tl1 0.000 0.000 0.000 1
Te1 0.000 0.000 0.500 1
Os1 0.250 0.250 0.750 1

---

No. 7
# TlTeOs2, optimized geometry, DFT PBEsol
# - Crystal system: monoclinic
# - Calculated volume: 73 Å³/f.u.
# - Offset from the most stable computed form: 0.5967 eV per atom
data_TlTeOs2
_chemical_formula_sum 'Tl2 Te2 Os4'
_space_group_name_H-M_alt 'C 1 2/m 1'
_space_group_IT_number 12
_cell_length_a 6.155
_cell_length_b 8.937
_cell_length_c 3.021
_cell_angle_alpha 90.00
_cell_angle_beta 118.19
_cell_angle_gamma 90.00
loop_
_space_group_symop_operation_xyz
'x,y,z'
'-x,-y,-z'
'-x,y,-z'
'x,-y,z'
'x+1/2,y+1/2,z'
'-x+1/2,-y+1/2,-z'
'-x+1/2,y+1/2,-z'
'x+1/2,-y+1/2,z'
loop_
_atom_site_label
_atom_site_fract_x
_atom_site_fract_y
_atom_site_fract_z
_atom_site_occupancy
Tl1 0.000 0.000 0.000 1
Te1 0.000 0.500 0.000 1
Os1 0.250 0.250 0.000 1

---

No. 8
# TlTeOs2, optimized geometry, DFT PBEsol
# - Crystal system: tetragonal
# - Calculated volume: 70 Å³/f.u.
# - Offset from the most stable computed form: 0.2919 eV per atom
data_TlTeOs2
_chemical_formula_sum 'Tl1 Te1 Os2'
_space_group_name_H-M_alt 'P 4/m m m'
_space_group_IT_number 123
_space_group_name_Hall '-P 4 2'
_cell_length_a 3.186
_cell_length_b 3.186
_cell_length_c 6.900
_cell_angle_alpha 90.00
_cell_angle_beta 90.00
_cell_angle_gamma 90.00
loop_
_atom_site_label
_atom_site_fract_x
_atom_site_fract_y
_atom_site_fract_z
_atom_site_occupancy
Tl1 0.000 0.000 0.000 1
Te1 0.000 0.000 0.500 1
Os1 0.500 0.500 0.275 1

---

Uncorrected formation energy for every record listed, in sequence, given in eV/atom: 0.9923; 0.4902; 0.6396; 1.2289; 0.6615; 0.6399; 1.2582; 0.9534.
Final energy for every record listed, in sequence, given in eV per atom: -8.327; -6.407; -6.696; -6.418; -6.986; -5.484; -6.389; -6.694.
M_tot for every record listed, in sequence, given in μB per atom: 0.000; 0.214; 0.000; 0.000; 0.000; 0.000; 0.000; 0.000.